<w>
This record from Alexandria describes a relaxed HoMoOs crystal. The functional is GGA-PBE.

Structure (POSCAR):
```
HoMoOs
1.0
4.651 0.000 2.612
1.702 4.502 2.417
0.035 -0.056 5.385
Ho Mo Os
2 2 2
Direct
0.870 0.380 0.380
0.130 0.620 0.620
0.500 0.000 0.000
0.000 0.000 0.000
0.500 0.000 0.500
0.500 0.500 0.000
```

Calculated values
N(E_F) (states/eV per atom): 0.879
V (Å³ per cell): 112.72



<x>
This record from Alexandria describes a relaxed HoMoOs crystal. The functional is GGA-PBE.

Structure (POSCAR):
```
HoMoOs
1.0
5.150 0.000 0.000
2.575 4.624 0.000
2.575 0.000 9.601
Ho Mo Os
4 4 4
Direct
0.833 0.334 0.000
0.167 0.666 0.000
0.917 0.166 0.500
0.583 0.834 0.500
0.577 0.000 0.846
0.327 0.500 0.346
0.173 0.500 0.654
0.423 0.000 0.154
0.125 0.000 0.750
0.875 0.500 0.250
0.625 0.500 0.750
0.875 0.000 0.250
```

Calculated values
N(E_F) (states/eV per atom): 0.820
V (Å³ per cell): 228.66



<w> is the most stable structure; the next one sits 0.323 eV/atom above it.



<w>
This record from Alexandria describes a relaxed HoMoRu2 crystal. The functional is GGA-PBE.

Structure (POSCAR):
```
HoMoRu2
1.0
4.569 0.000 0.000
2.284 3.957 0.000
2.284 1.319 3.730
Mo Ru Ho
1 2 1
Direct
0.500 0.500 0.500
0.250 0.250 0.250
0.750 0.750 0.750
0.000 0.000 0.000
```

Calculated values
N(E_F) (states/eV per atom): 1.193
V (Å³ per cell): 67.43



<x>
This record from Alexandria describes a relaxed HoMoRu2 crystal. The functional is GGA-PBE.

Structure (POSCAR):
```
HoMoRu2
1.0
3.124 0.000 0.000
0.000 3.124 0.000
0.000 0.000 7.075
Mo Ru Ho
1 2 1
Direct
0.500 0.500 0.000
0.000 0.000 0.212
0.000 0.000 0.788
0.500 0.500 0.500
```

Calculated values
N(E_F) (states/eV per atom): 1.351
V (Å³ per cell): 69.07



<x> is the most stable structure; the next one sits 0.067 eV/atom above it.



<w>
This record from Alexandria describes a relaxed HoScMo crystal. The functional is GGA-PBE.

Structure (POSCAR):
```
HoScMo
1.0
-1.026 3.233 -0.588
-3.208 -0.853 0.910
3.308 0.186 5.327
Ho Mo Sc
1 1 1
Direct
0.023 0.023 0.046
0.676 0.676 0.351
0.301 0.301 0.602
```

Calculated values
N(E_F) (states/eV per atom): 1.494
V (Å³ per cell): 68.51



<x>
This record from Alexandria describes a relaxed HoScMo crystal. The functional is GGA-PBE.

Structure (POSCAR):
```
HoScMo
1.0
4.531 0.000 0.000
0.000 5.741 0.262
-2.266 -0.938 5.503
Ho Mo Sc
2 2 2
Direct
0.134 0.352 0.268
0.866 0.648 0.732
0.241 0.880 0.482
0.759 0.120 0.518
0.422 0.223 0.844
0.578 0.777 0.156
```

Calculated values
N(E_F) (states/eV per atom): 1.201
V (Å³ per cell): 144.27



<w> is the most stable structure; the next one sits 0.010 eV/atom above it.



<w>
This record from Alexandria describes a relaxed HoTcMo crystal. The functional is GGA-PBE.

Structure (POSCAR):
```
HoTcMo
1.0
-3.033 -2.994 -0.385
0.724 -3.974 1.413
-3.927 -0.127 8.134
Ho Mo Tc
2 2 2
Direct
0.618 0.618 0.145
0.382 0.382 0.855
0.110 0.110 0.669
0.890 0.890 0.331
0.790 0.790 0.629
0.210 0.210 0.371
```

Calculated values
N(E_F) (states/eV per atom): 0.774
V (Å³ per cell): 137.78



<x>
This record from Alexandria describes a relaxed HoTcMo crystal. The functional is GGA-PBE.

Structure (POSCAR):
```
HoTcMo
1.0
3.221 0.000 0.000
0.000 3.221 0.000
-1.611 -1.611 5.394
Ho Tc Mo
1 1 1
Direct
0.002 0.002 0.004
0.686 0.686 0.373
0.312 0.312 0.623
```

Calculated values
N(E_F) (states/eV per atom): 0.634
V (Å³ per cell): 55.97



<x> is the most stable structure; the next one sits 0.439 eV/atom above it.



<w>
This record from Alexandria describes a relaxed HoZrMo crystal. The functional is GGA-PBE.

Structure (POSCAR):
```
HoZrMo
1.0
3.287 0.000 0.000
1.644 2.847 0.000
1.644 0.949 14.749
Zr Ho Mo
2 2 2
Direct
0.097 0.097 0.709
0.903 0.903 0.291
0.368 0.368 0.896
0.632 0.632 0.104
0.186 0.186 0.441
0.814 0.814 0.559
```

Calculated values
N(E_F) (states/eV per atom): 1.218
V (Å³ per cell): 138.02



<x>
This record from Alexandria describes a relaxed HoZrMo crystal. The functional is GGA-PBE.

Structure (POSCAR):
```
HoZrMo
1.0
-3.276 -0.921 -0.788
0.872 -0.212 -3.376
2.552 -4.824 2.768
Ho Mo Zr
1 1 1
Direct
0.016 0.016 0.031
0.684 0.684 0.367
0.301 0.301 0.601
```

Calculated values
N(E_F) (states/eV per atom): 1.188
V (Å³ per cell): 68.30



<x> is the most stable structure; the next one sits 0.136 eV/atom above it.



<w>
This record from Alexandria describes a relaxed NdHo2N crystal. The functional is GGA-PBE.

Structure (POSCAR):
```
NdHo2N
1.0
-2.081 1.446 1.898
-0.733 -2.784 1.317
6.403 1.202 6.105
Ho N Nd
2 1 1
Direct
0.000 0.000 0.842
0.000 0.000 0.158
0.500 0.500 0.000
0.500 0.500 0.500
```

Calculated values
N(E_F) (states/eV per atom): 1.155
V (Å³ per cell): 89.52



<x>
This record from Alexandria describes a relaxed NdHo2N crystal. The functional is GGA-PBE.

Structure (POSCAR):
```
NdHo2N
1.0
-1.609 0.255 -3.033
0.141 -2.604 -2.247
-8.404 -4.560 2.122
Ho Nd N
2 1 1
Direct
0.879 0.879 0.362
0.121 0.121 0.638
0.000 0.000 0.000
0.500 0.500 0.500
```

Calculated values
N(E_F) (states/eV per atom): 1.210
V (Å³ per cell): 98.45



<x> is the most stable structure; the next one sits 0.524 eV/atom above it.



<w>
This record from Alexandria describes a relaxed Ho2NO crystal. The functional is GGA-PBE.

Structure (POSCAR):
```
Ho2NO
1.0
5.713 0.299 -1.509
-2.708 5.033 -1.506
-0.021 -0.033 7.640
O N Ho
4 4 8
Direct
0.311 0.561 0.122
0.436 0.186 0.373
0.564 0.814 0.627
0.689 0.439 0.878
0.062 0.312 0.624
0.813 0.063 0.126
0.938 0.688 0.376
0.187 0.937 0.874
0.177 0.436 0.375
0.302 0.060 0.625
0.567 0.308 0.125
0.698 0.940 0.375
0.823 0.564 0.625
0.942 0.183 0.875
0.058 0.817 0.125
0.433 0.692 0.875
```

Calculated values
N(E_F) (states/eV per atom): 0.229
V (Å³ per cell): 225.30



<x>
This record from Alexandria describes a relaxed Ho2NO crystal. The functional is GGA-PBE.

Structure (POSCAR):
```
Ho2NO
1.0
-3.325 -0.131 0.458
-1.424 -2.807 1.175
-0.903 0.977 6.043
N O Ho
1 1 2
Direct
0.669 0.669 0.993
0.498 0.498 0.507
0.077 0.077 0.770
0.257 0.257 0.230
```

Calculated values
N(E_F) (states/eV per atom): 0.375
V (Å³ per cell): 57.43



<w> is the most stable structure; the next one sits 0.145 eV/atom above it.



<w>
This record from Alexandria describes a relaxed HoPaN crystal. The functional is GGA-PBE.

Structure (POSCAR):
```
HoPaN
1.0
-0.704 -1.300 -4.009
2.032 -3.439 -1.519
-2.163 -3.613 -0.726
Pa N Ho
1 1 1
Direct
0.000 0.000 0.000
0.250 0.250 0.250
0.500 0.500 0.500
```

Calculated values
N(E_F) (states/eV per atom): 1.901
V (Å³ per cell): 55.18



<x>
This record from Alexandria describes a relaxed HoPaN crystal. The functional is GGA-PBE.

Structure (POSCAR):
```
HoPaN
1.0
-1.128 2.637 -1.462
0.259 -1.470 -2.852
-5.551 -2.809 2.761
N Pa Ho
1 1 1
Direct
0.487 0.487 0.974
0.323 0.323 0.645
0.041 0.041 0.081
```

Calculated values
N(E_F) (states/eV per atom): 1.018
V (Å³ per cell): 66.48



<y>
This record from Alexandria describes a relaxed HoPaN crystal. The functional is GGA-PBE.

Structure (POSCAR):
```
HoPaN
1.0
-0.012 2.647 1.984
4.661 -4.417 5.919
7.891 3.009 -3.968
N Ho Pa
4 4 4
Direct
0.750 0.874 0.954
0.250 0.374 0.546
0.250 0.126 0.046
0.750 0.626 0.454
0.750 0.181 0.503
0.250 0.819 0.497
0.250 0.681 0.997
0.750 0.319 0.003
0.750 0.990 0.171
0.750 0.510 0.671
0.250 0.490 0.329
0.250 0.010 0.829
```

Calculated values
N(E_F) (states/eV per atom): 1.369
V (Å³ per cell): 269.61



<y> is the most stable structure; the next one sits 0.027 eV/atom above it.



<w>
This record from Alexandria describes a relaxed HoPa3N6 crystal. The functional is GGA-PBE.

Structure (POSCAR):
```
HoPa3N6
1.0
3.562 0.000 0.000
0.000 9.147 -1.890
0.000 -0.511 9.190
N Ho Pa
12 2 6
Direct
0.250 0.421 0.555
0.750 0.432 0.113
0.750 0.780 0.725
0.750 0.285 0.710
0.250 0.220 0.275
0.250 0.715 0.290
0.250 0.950 0.592
0.250 0.920 0.075
0.750 0.579 0.445
0.750 0.050 0.408
0.250 0.568 0.887
0.750 0.080 0.925
0.250 0.329 0.928
0.750 0.671 0.072
0.750 0.525 0.688
0.250 0.918 0.830
0.250 0.475 0.312
0.250 0.179 0.535
0.750 0.821 0.465
0.750 0.082 0.170
```

Calculated values
V (Å³ per cell): 295.99



<x>
This record from Alexandria describes a relaxed HoPa3N6 crystal. The functional is GGA-PBE.

Structure (POSCAR):
```
HoPa3N6
1.0
-1.229 0.244 -3.454
-0.231 -6.806 -0.398
-5.950 2.429 2.289
N Pa Ho
6 3 1
Direct
0.500 0.649 0.351
0.000 0.332 0.073
0.000 0.073 0.332
0.000 0.668 0.927
0.000 0.927 0.668
0.500 0.351 0.649
0.000 0.000 0.000
0.500 0.500 0.000
0.500 0.000 0.500
0.000 0.500 0.500
```

Calculated values
N(E_F) (states/eV per atom): 0.502
V (Å³ per cell): 160.46



<w> is the most stable structure; the next one sits 0.217 eV/atom above it.



<w>
This record from Alexandria describes a relaxed HoPbN crystal. The functional is GGA-PBE.

Structure (POSCAR):
```
HoPbN
1.0
-2.400 -0.298 3.006
-2.282 -3.091 0.347
6.386 -6.341 6.944
N Ho Pb
2 2 2
Direct
0.302 0.302 0.093
0.698 0.698 0.907
0.371 0.371 0.888
0.629 0.629 0.112
0.130 0.130 0.611
0.870 0.870 0.389
```

Calculated values
N(E_F) (states/eV per atom): 0.529
V (Å³ per cell): 143.69



<x>
This record from Alexandria describes a relaxed HoPbN crystal. The functional is GGA-PBE.

Structure (POSCAR):
```
HoPbN
1.0
3.347 0.000 0.000
0.000 3.347 0.000
-1.674 -1.674 6.006
Ho N Pb
1 1 1
Direct
0.739 0.739 0.478
0.234 0.234 0.468
0.027 0.027 0.054
```

Calculated values
N(E_F) (states/eV per atom): 0.350
V (Å³ per cell): 67.28



<w> is the most stable structure; the next one sits 0.150 eV/atom above it.



<w>
This record from Alexandria describes a relaxed PmHoN crystal. The functional is GGA-PBE.

Structure (POSCAR):
```
PmHoN
1.0
-2.039 2.657 -2.702
-2.223 -1.598 -3.321
-4.300 0.185 0.000
Ho N Pm
1 1 1
Direct
0.000 0.000 0.000
0.250 0.250 0.250
0.500 0.500 0.500
```

Calculated values
N(E_F) (states/eV per atom): 0.417
V (Å³ per cell): 56.37



<x>
This record from Alexandria describes a relaxed PmHoN crystal. The functional is GGA-PBE.

Structure (POSCAR):
```
PmHoN
1.0
-4.709 1.842 -3.555
-2.016 -2.570 1.338
0.073 3.172 1.547
N Pm Ho
1 1 1
Direct
0.316 0.333 0.667
0.562 0.667 0.333
0.122 0.000 0.000
```

Calculated values
N(E_F) (states/eV per atom): 0.934
V (Å³ per cell): 66.69



<x> is the most stable structure; the next one sits 0.665 eV/atom above it.



<w>
This record from Alexandria describes a relaxed PrHo2N crystal. The functional is GGA-PBE.

Structure (POSCAR):
```
PrHo2N
1.0
-3.209 0.338 -1.213
-2.687 -0.915 1.956
-2.386 8.725 3.843
N Ho Pr
1 2 1
Direct
0.500 0.500 0.500
0.121 0.121 0.637
0.879 0.879 0.363
0.000 0.000 0.000
```

Calculated values
N(E_F) (states/eV per atom): 1.234
V (Å³ per cell): 99.06



<x>
This record from Alexandria describes a relaxed PrHo2N crystal. The functional is GGA-PBE.

Structure (POSCAR):
```
PrHo2N
1.0
3.171 0.000 0.000
0.000 3.171 0.000
0.000 0.000 8.976
N Ho Pr
1 2 1
Direct
0.500 0.500 0.000
0.000 0.000 0.843
0.000 0.000 0.157
0.500 0.500 0.500
```

Calculated values
N(E_F) (states/eV per atom): 1.158
V (Å³ per cell): 90.23



<w> is the most stable structure; the next one sits 0.535 eV/atom above it.